A plane-wave DFT calculation with GGA-PBE was carried out for a relaxed PmYSbO2 crystal.

Cell: 3.9184 3.9184 7.3271 Å, 105.51 105.51 90.00°
Last column: nearest neighbours and their distance in Å.
Positions (direct):
1 O 0.7471 0.2471 0.4943  2 Y 2.24, 2 Pm 2.30
2 O 0.2471 0.7471 0.4943  2 Y 2.24, 2 Pm 2.30
3 Y 0.1664 0.1664 0.3328  4 O 2.24
4 Sb 0.5029 0.5029 0.0059  4 Y 3.55, 4 Pm 3.58, 4 O 3.85, 4 Sb 3.92
5 Pm 0.8364 0.8364 0.6728  4 O 2.30

Computed properties:
DOS at the Fermi energy: 1.497 states/eV per cell
Mass density: 6.2 Mg/m³
E_form (uncorrected): -2.6481 eV per atom
Total energy: -7.6988 eV/atom